*w*
The following is a DFT calculation (PBE) of a relaxed Pr2TmCo crystal.

a = 3.560 Å, b = 3.560 Å, c = 8.769 Å
α = 90.00°, β = 90.00°, γ = 90.00°
Atoms (fractional coordinates):
Pr  0.000  0.000  0.196
Pr  0.000  0.000  0.804
Tm  0.500  0.500  0.500
Co  0.500  0.500  0.000

Computed properties:
Crystal system: tetragonal
N(E_F) (states/eV/atom): 1.25
SG: P4/mmm (123)

=====

*x*
The following is a DFT calculation (PBE) of a relaxed Pr2TmCo crystal.

a = 11.202 Å, b = 11.202 Å, c = 11.202 Å
α = 17.80°, β = 17.80°, γ = 17.80°
Atoms (fractional coordinates):
Pr  0.077  0.077  0.077
Pr  0.923  0.923  0.923
Tm  0.500  0.500  0.500
Co  0.000  0.000  0.000

Computed properties:
Crystal system: trigonal
N(E_F) (states/eV/atom): 1.40
SG: R-3m (166)

=====

*y*
The following is a DFT calculation (PBE) of a relaxed Pr2TmCo crystal.

a = 3.890 Å, b = 3.890 Å, c = 8.955 Å
α = 90.03°, β = 90.03°, γ = 60.09°
Atoms (fractional coordinates):
Pr  0.000  0.000  0.000
Pr  0.667  0.667  0.350
Tm  0.333  0.333  0.680
Co  0.000  0.000  0.523

Computed properties:
Crystal system: monoclinic
N(E_F) (states/eV/atom): 0.88
SG: Cm (8)

=====

Least stable: *x*

=====

*w*
The following is a DFT calculation (PBE) of a relaxed PrTm3Co crystal.

a = 5.241 Å, b = 5.241 Å, c = 5.241 Å
α = 90.00°, β = 90.00°, γ = 90.00°
Atoms (fractional coordinates):
Pr  0.000  0.000  0.000
Tm  0.000  0.500  0.500
Tm  0.500  0.000  0.500
Tm  0.500  0.500  0.000
Co  0.500  0.500  0.500

Computed properties:
Crystal system: cubic
N(E_F) (states/eV/atom): 1.42
SG: Pm-3m (221)

=====

*x*
The following is a DFT calculation (PBE) of a relaxed PrTm3Co crystal.

a = 6.809 Å, b = 6.809 Å, c = 11.057 Å
α = 91.01°, β = 91.01°, γ = 31.68°
Atoms (fractional coordinates):
Pr  0.164  0.164  0.090
Pr  0.836  0.836  0.910
Tm  0.061  0.061  0.374
Tm  0.216  0.216  0.635
Tm  0.433  0.433  0.163
Tm  0.567  0.567  0.837
Tm  0.784  0.784  0.365
Tm  0.939  0.939  0.626
Co  0.415  0.415  0.440
Co  0.585  0.585  0.560

Computed properties:
Crystal system: monoclinic
N(E_F) (states/eV/atom): 1.08
SG: C2/m (12)

=====

Least stable: *w*